No. 1
# SrSb2Ir

An optimized crystal structure of SrSb2Ir (GGA-PBE, Alexandria).

Geometry as CIF:
```
data_SrSb2Ir
_chemical_formula_sum 'Sr1 Sb2 Ir1'
_symmetry_space_group_name_H-M 'P 1'
_symmetry_Int_Tables_number 1
_symmetry_space_group_name_Hall 'P 1'
_cell_length_a 7.846
_cell_length_b 7.846
_cell_length_c 7.846
_cell_angle_alpha 153.26
_cell_angle_beta 150.73
_cell_angle_gamma 40.06
loop_
_atom_site_label
_atom_site_fract_x
_atom_site_fract_y
_atom_site_fract_z
Sr1 0.000 0.000 0.000
Sb1 0.323 0.823 0.500
Sb2 0.635 0.635 0.000
Ir1 0.766 0.266 0.500
```

Results
The formation energy from raw total energies is -0.2656 eV/atom. The symmetry is Imm2.


No. 2
# LaDy2Pt2

An optimized crystal structure of LaDy2Pt2 (GGA-PBE, Alexandria).

Geometry as CIF:
```
data_LaDy2Pt2
_chemical_formula_sum 'La2 Dy4 Pt4'
_symmetry_space_group_name_H-M 'P 1'
_symmetry_Int_Tables_number 1
_symmetry_space_group_name_Hall 'P 1'
_cell_length_a 5.491
_cell_length_b 4.687
_cell_length_c 10.532
_cell_angle_alpha 90.00
_cell_angle_beta 96.78
_cell_angle_gamma 90.00
loop_
_atom_site_label
_atom_site_fract_x
_atom_site_fract_y
_atom_site_fract_z
La1 0.079 0.250 0.281
La2 0.921 0.750 0.719
Dy1 0.272 0.750 0.027
Dy2 0.375 0.250 0.613
Dy3 0.625 0.750 0.387
Dy4 0.728 0.250 0.973
Pt1 0.162 0.750 0.476
Pt2 0.204 0.250 0.869
Pt3 0.796 0.750 0.131
Pt4 0.838 0.250 0.524
```

Results
The formation enthalpy at 0 K is -5.136 eV per formula unit. The symmetry is P2_1/m.


No. 3
# KNiAg2

An optimized crystal structure of KNiAg2 (GGA-PBE, Alexandria).

Geometry as CIF:
```
data_KNiAg2
_chemical_formula_sum 'K1 Ni1 Ag2'
_symmetry_space_group_name_H-M 'P 1'
_symmetry_Int_Tables_number 1
_symmetry_space_group_name_Hall 'P 1'
_cell_length_a 6.169
_cell_length_b 6.169
_cell_length_c 6.169
_cell_angle_alpha 152.76
_cell_angle_beta 128.55
_cell_angle_gamma 59.18
loop_
_atom_site_label
_atom_site_fract_x
_atom_site_fract_y
_atom_site_fract_z
K1 0.000 0.000 0.000
Ni1 0.270 0.770 0.500
Ag1 0.471 0.471 0.000
Ag2 0.709 0.209 0.500
```

Results
The formation enthalpy at 0 K is 1.873 eV per formula unit. The symmetry is Imm2.


No. 4
# MgMnAl2

An optimized crystal structure of MgMnAl2 (GGA-PBE, Alexandria).

Geometry as CIF:
```
data_MgMnAl2
_chemical_formula_sum 'Mg1 Mn1 Al2'
_symmetry_space_group_name_H-M 'P 1'
_symmetry_Int_Tables_number 1
_symmetry_space_group_name_Hall 'P 1'
_cell_length_a 2.945
_cell_length_b 3.855
_cell_length_c 5.663
_cell_angle_alpha 90.00
_cell_angle_beta 90.00
_cell_angle_gamma 90.00
loop_
_atom_site_label
_atom_site_fract_x
_atom_site_fract_y
_atom_site_fract_z
Mg1 0.000 0.000 0.000
Mn1 0.500 0.500 0.264
Al1 0.000 0.000 0.475
Al2 0.500 0.500 0.731
```

Results
The formation enthalpy at 0 K is 0.067 eV per formula unit. The symmetry is Pmm2.


No. 5
# PmSmBiN

An optimized crystal structure of PmSmBiN (GGA-PBE, Alexandria).

Geometry as CIF:
```
data_PmSmBiN
_chemical_formula_sum 'Pm2 Sm2 Bi2 N2'
_symmetry_space_group_name_H-M 'P 1'
_symmetry_Int_Tables_number 1
_symmetry_space_group_name_Hall 'P 1'
_cell_length_a 4.687
_cell_length_b 4.687
_cell_length_c 9.325
_cell_angle_alpha 90.00
_cell_angle_beta 90.00
_cell_angle_gamma 90.00
loop_
_atom_site_label
_atom_site_fract_x
_atom_site_fract_y
_atom_site_fract_z
Pm1 0.250 0.250 0.178
Pm2 0.750 0.750 0.822
Sm1 0.250 0.750 0.500
Sm2 0.750 0.250 0.500
Bi1 0.250 0.250 0.808
Bi2 0.750 0.750 0.192
N1 0.250 0.250 0.422
N2 0.750 0.750 0.578
```

Results
The formation energy from raw total energies is -1.2035 eV/atom. The symmetry is P4/nmm.


No. 6
# ZrTe2PbW

An optimized crystal structure of ZrTe2PbW (GGA-PBE, Alexandria).

Geometry as CIF:
```
data_ZrTe2PbW
_chemical_formula_sum 'Zr1 Te2 Pb1 W1'
_symmetry_space_group_name_H-M 'P 1'
_symmetry_Int_Tables_number 1
_symmetry_space_group_name_Hall 'P 1'
_cell_length_a 5.615
_cell_length_b 5.615
_cell_length_c 5.046
_cell_angle_alpha 90.00
_cell_angle_beta 90.00
_cell_angle_gamma 90.00
loop_
_atom_site_label
_atom_site_fract_x
_atom_site_fract_y
_atom_site_fract_z
Zr1 0.000 0.000 0.000
Te1 0.000 0.500 0.000
Te2 0.500 0.000 0.000
Pb1 0.500 0.500 0.500
W1 0.000 0.000 0.500
```

Results
The formation energy from raw total energies is 0.8923 eV/atom. The symmetry is P4/mmm.


No. 7
# PAu2Br

An optimized crystal structure of PAu2Br (GGA-PBE, Alexandria).

Geometry as CIF:
```
data_PAu2Br
_chemical_formula_sum 'P1 Au2 Br1'
_symmetry_space_group_name_H-M 'P 1'
_symmetry_Int_Tables_number 1
_symmetry_space_group_name_Hall 'P 1'
_cell_length_a 2.772
_cell_length_b 3.642
_cell_length_c 8.447
_cell_angle_alpha 90.00
_cell_angle_beta 90.00
_cell_angle_gamma 90.00
loop_
_atom_site_label
_atom_site_fract_x
_atom_site_fract_y
_atom_site_fract_z
P1 0.000 0.000 0.000
Au1 0.500 0.500 0.185
Au2 0.500 0.500 0.815
Br1 0.000 0.000 0.500
```

Results
The formation energy from raw total energies is 0.4045 eV/atom. The symmetry is Pmmm.


No. 8
# NbZnNi

An optimized crystal structure of NbZnNi (GGA-PBE, Alexandria).

Geometry as CIF:
```
data_NbZnNi
_chemical_formula_sum 'Nb2 Zn2 Ni2'
_symmetry_space_group_name_H-M 'P 1'
_symmetry_Int_Tables_number 1
_symmetry_space_group_name_Hall 'P 1'
_cell_length_a 4.321
_cell_length_b 4.321
_cell_length_c 5.239
_cell_angle_alpha 90.00
_cell_angle_beta 90.00
_cell_angle_gamma 120.00
loop_
_atom_site_label
_atom_site_fract_x
_atom_site_fract_y
_atom_site_fract_z
Nb1 0.000 0.000 0.000
Nb2 0.000 0.000 0.500
Zn1 0.333 0.667 0.250
Zn2 0.667 0.333 0.750
Ni1 0.333 0.667 0.750
Ni2 0.667 0.333 0.250
```

Results
The formation enthalpy at 0 K is -0.612 eV per formula unit. The symmetry is P6_3/mmc.


No. 9
# Y2PBr2

An optimized crystal structure of Y2PBr2 (GGA-PBE, Alexandria).

Geometry as CIF:
```
data_Y2PBr2
_chemical_formula_sum 'Y2 P1 Br2'
_symmetry_space_group_name_H-M 'P 1'
_symmetry_Int_Tables_number 1
_symmetry_space_group_name_Hall 'P 1'
_cell_length_a 7.683
_cell_length_b 7.683
_cell_length_c 7.683
_cell_angle_alpha 147.11
_cell_angle_beta 147.11
_cell_angle_gamma 47.21
loop_
_atom_site_label
_atom_site_fract_x
_atom_site_fract_y
_atom_site_fract_z
Y1 0.111 0.111 0.000
Y2 0.889 0.889 0.000
P1 0.500 0.500 0.000
Br1 0.250 0.750 0.500
Br2 0.750 0.250 0.500
```

Results
The formation energy from raw total energies is -0.8855 eV/atom. The symmetry is I4/mmm.


No. 10
# Sr2ZrSc2

An optimized crystal structure of Sr2ZrSc2 (GGA-PBE, Alexandria).

Geometry as CIF:
```
data_Sr2ZrSc2
_chemical_formula_sum 'Sr2 Zr1 Sc2'
_symmetry_space_group_name_H-M 'P 1'
_symmetry_Int_Tables_number 1
_symmetry_space_group_name_Hall 'P 1'
_cell_length_a 6.257
_cell_length_b 6.257
_cell_length_c 6.257
_cell_angle_alpha 126.07
_cell_angle_beta 126.07
_cell_angle_gamma 79.78
loop_
_atom_site_label
_atom_site_fract_x
_atom_site_fract_y
_atom_site_fract_z
Sr1 0.147 0.147 0.000
Sr2 0.853 0.853 0.000
Zr1 0.500 0.500 0.000
Sc1 0.250 0.750 0.500
Sc2 0.750 0.250 0.500
```

Results
The formation enthalpy at 0 K is 4.982 eV per formula unit. The symmetry is I4/mmm.


No. 11
# AlAsF2

An optimized crystal structure of AlAsF2 (GGA-PBE, Alexandria).

Geometry as CIF:
```
data_AlAsF2
_chemical_formula_sum 'Al1 As1 F2'
_symmetry_space_group_name_H-M 'P 1'
_symmetry_Int_Tables_number 1
_symmetry_space_group_name_Hall 'P 1'
_cell_length_a 9.665
_cell_length_b 9.665
_cell_length_c 9.665
_cell_angle_alpha 17.59
_cell_angle_beta 17.59
_cell_angle_gamma 17.59
loop_
_atom_site_label
_atom_site_fract_x
_atom_site_fract_y
_atom_site_fract_z
Al1 0.000 0.000 0.000
As1 0.500 0.500 0.500
F1 0.059 0.059 0.059
F2 0.941 0.941 0.941
```

Results
The formation energy from raw total energies is -1.3344 eV/atom. The symmetry is R-3m.


No. 12
# PmHo3Cd2

An optimized crystal structure of PmHo3Cd2 (GGA-PBE, Alexandria).

Geometry as CIF:
```
data_PmHo3Cd2
_chemical_formula_sum 'Pm1 Ho3 Cd2'
_symmetry_space_group_name_H-M 'P 1'
_symmetry_Int_Tables_number 1
_symmetry_space_group_name_Hall 'P 1'
_cell_length_a 3.662
_cell_length_b 3.662
_cell_length_c 12.653
_cell_angle_alpha 90.00
_cell_angle_beta 90.00
_cell_angle_gamma 90.00
loop_
_atom_site_label
_atom_site_fract_x
_atom_site_fract_y
_atom_site_fract_z
Pm1 0.000 0.000 0.000
Ho1 0.500 0.500 0.197
Ho2 0.500 0.500 0.500
Ho3 0.500 0.500 0.803
Cd1 0.000 0.000 0.349
Cd2 0.000 0.000 0.651
```

Results
The formation enthalpy at 0 K is -1.204 eV per formula unit. The symmetry is P4/mmm.


| no. | density of states at the Fermi level (states/eV/atom) |
| --- | --- |
| 1 | 0.49 |
| 2 | 0.80 |
| 3 | 0.91 |
| 4 | 0.53 |
| 5 | 0.15 |
| 6 | 1.05 |
| 7 | 0.37 |
| 8 | 0.31 |
| 9 | 0.17 |
| 10 | 1.31 |
| 11 | 0.32 |
| 12 | 1.15 |